1.
Density functional theory data (PBE) for an optimized crystal structure of MnH3N.

Values from the calculation:
Final energy, eV per atom: -4.451
Space-group type: Pm-3m, No. 221
Mass density, Mg/m³: 3.95
Fermi-level density of states, states/eV/cell: 1.22

Cell: 3.1169 3.1169 3.1169 Å, 90.00 90.00 90.00°
Closest atoms and distances in Å follow each position.
Fractional coordinates of all 5 atoms:
Mn1 0.0000 0.0000 0.0000  12 H 2.20
H1 0.0000 0.5000 0.5000  2 N 1.56
H2 0.5000 0.0000 0.5000  2 N 1.56
H3 0.5000 0.5000 0.0000  2 N 1.56
N1 0.5000 0.5000 0.5000  6 H 1.56

---

2.
Density functional theory data (PBE) for an optimized crystal structure of MnH2N.

Values from the calculation:
Final energy, eV per atom: -5.919
Space-group type: Pm, No. 6
Mass density, Mg/m³: 3.71
Fermi-level density of states, states/eV/cell: 1.03

Cell: 3.0944 3.8117 3.1054 Å, 90.00 119.79 90.00°
Closest atoms and distances in Å follow each position.
Fractional coordinates of all 4 atoms:
Mn1 0.0000 0.0000 0.0000  3 N 1.78-1.80, 4 H 1.95
H1 0.0869 0.5000 0.1484  1 H 0.82
H2 0.9120 0.5000 0.8456  1 H 0.82
N1 0.6658 0.0000 0.3307  3 Mn 1.78-1.80

---

3.
Density functional theory data (PBE) for an optimized crystal structure of MnH2N.

Values from the calculation:
Final energy, eV per atom: -6.000
Space-group type: P4mm, No. 99
Mass density, Mg/m³: 4.05
Fermi-level density of states, states/eV/cell: 1.57

Cell: 2.6173 2.6173 4.2482 Å, 90.00 90.00 90.00°
Closest atoms and distances in Å follow each position.
Fractional coordinates of all 4 atoms:
Mn1 0.0000 0.0000 0.0000  1 H 1.53
H1 0.0000 0.0000 0.3605  1 Mn 1.53
H2 0.5000 0.5000 0.6090  1 N 1.04
N1 0.5000 0.5000 0.8549  1 H 1.04

---

4.
Density functional theory data (PBE) for an optimized crystal structure of MnH2N.

Values from the calculation:
Final energy, eV per atom: -5.913
Space-group type: P1, No. 1
Mass density, Mg/m³: 3.45
Fermi-level density of states, states/eV/cell: 1.45

Cell: 2.8084 2.9322 4.8716 Å, 73.69 77.84 62.87°
Closest atoms and distances in Å follow each position.
Fractional coordinates of all 4 atoms:
Mn1 0.0000 0.0000 0.0000  2 H 1.67-1.68, 3 N 1.76-1.84
H1 0.0157 0.1712 0.6412  1 H 0.89
H2 0.2749 0.2277 0.6812  1 H 0.89
N1 0.6461 0.5751 0.1359  3 Mn 1.76-1.84

---

5.
Density functional theory data (PBE) for an optimized crystal structure of MnH2N.

Values from the calculation:
Final energy, eV per atom: -5.943
Space-group type: Cm, No. 8
Mass density, Mg/m³: 4.29
Fermi-level density of states, states/eV/cell: 0.94

Cell: 3.3440 3.3440 4.5041 Å, 126.68 126.68 45.74°
Closest atoms and distances in Å follow each position.
Fractional coordinates of all 4 atoms:
Mn1 0.0000 0.0000 0.0000  3 H 1.79-1.91, 2 N 1.94
H1 0.0616 0.0616 0.5435  1 N 1.03
H2 0.7314 0.7314 0.0799  1 H 1.73, 3 Mn 1.79-1.91
N1 0.2512 0.2512 0.5943  1 H 1.03

---

6.
Density functional theory data (PBE) for an optimized crystal structure of MnH2N.

Values from the calculation:
Final energy, eV per atom: -5.679
Space-group type: I4_1/amd, No. 141
Mass density, Mg/m³: 4.37
Fermi-level density of states, states/eV/cell: 3.42

Cell: 7.6022 7.6022 7.6022 Å, 159.48 159.48 29.19°
Closest atoms and distances in Å follow each position.
Fractional coordinates of all 8 atoms:
Mn1 0.3750 0.6250 0.7500  4 N 1.92, 4 H 1.96
Mn2 0.6250 0.3750 0.2500  4 N 1.92, 4 H 1.96
H1 0.0000 0.5000 0.5000  2 H 1.35
H2 0.5000 0.0000 0.0000  2 H 1.35
H3 0.5000 0.5000 0.0000  2 H 1.35
H4 0.5000 0.5000 0.5000  2 H 1.35
N1 0.1250 0.8750 0.2500  4 Mn 1.92
N2 0.8750 0.1250 0.7500  4 Mn 1.92

---

7.
Density functional theory data (PBE) for an optimized crystal structure of Mn4H2N.

Values from the calculation:
Final energy, eV per atom: -7.271
Space-group type: I4/mmm, No. 139
Mass density, Mg/m³: 6.26
Fermi-level density of states, states/eV/cell: 5.35

Cell: 5.1592 5.1592 5.1592 Å, 137.25 137.25 62.06°
Closest atoms and distances in Å follow each position.
Fractional coordinates of all 7 atoms:
Mn1 0.0000 0.5000 0.5000  2 N 1.88, 4 H 2.01
Mn2 0.2293 0.2293 0.0000  1 H 1.69
Mn3 0.5000 0.0000 0.5000  2 N 1.88, 4 H 2.01
Mn4 0.7707 0.7707 0.0000  1 H 1.69
H1 0.4203 0.4203 0.0000  1 H 1.41
H2 0.5797 0.5797 0.0000  1 H 1.41
N1 0.0000 0.0000 0.0000  6 Mn 1.88-2.03

---

8.
Density functional theory data (PBE) for an optimized crystal structure of MnH2N.

Values from the calculation:
Final energy, eV per atom: -6.118
Space-group type: Cm, No. 8
Mass density, Mg/m³: 3.74
Fermi-level density of states, states/eV/cell: 0.70

Cell: 2.6830 2.6830 5.3014 Å, 105.01 105.01 59.94°
Closest atoms and distances in Å follow each position.
Fractional coordinates of all 4 atoms:
Mn1 0.0000 0.0000 0.0000  3 H 1.89, 3 N 1.90
H1 0.5239 0.5239 0.5805  1 N 1.03
H2 0.7398 0.7398 0.2143  3 Mn 1.89
N1 0.5932 0.5932 0.7839  1 H 1.03